Entry 1:
Computed, not measured: crystalline Zr2BiMo at its relaxed geometry at the PBE level of DFT.

a = 3.3867 Å, b = 3.3867 Å, c = 27.3875 Å
α = 90.00°, β = 90.00°, γ = 120.00°
Space group R-3m (No. 166, hexagonal axes)
Inequivalent atoms, fractional coordinates:
Zr: 0.0000 0.0000 0.2390 [6 per cell]
Bi: 0.0000 0.0000 0.0000 [3 per cell]
Mo: 0.0000 0.0000 0.5000 [3 per cell]

Output
For the total magnetization, the calculation gives 0.00 μB/cell. The density of states at the Fermi level is 3.61 states/eV/f.u. The calculation puts the formation enthalpy at 0 K at 1.0 kcal/mol of atoms. As for the mass density: 8.92 Mg/m³.

---

Entry 2:
Computed, not measured: crystalline Zr2BiMo at its relaxed geometry at the PBE level of DFT.

a = 4.272 Å, b = 4.272 Å, c = 20.472 Å
α = 90.00°, β = 90.00°, γ = 90.00°
Space group I-42d (No. 122)
Inequivalent atoms, fractional coordinates:
Zr: 0.247 0.250 0.125 [8 per cell]
Bi: 0.000 0.000 0.500 [4 per cell]
Mo: 0.000 0.000 0.000 [4 per cell]

Output
For the total magnetization, the calculation gives 4.82 μB/cell. The density of states at the Fermi level is 3.90 states/eV/f.u. The calculation puts the formation enthalpy at 0 K at 14.4 kcal/mol of atoms. As for the mass density: 8.66 Mg/m³.

---

Entry 3:
Computed, not measured: crystalline Zr2BiMo at its relaxed geometry at the PBE level of DFT.

a = 3.649 Å, b = 3.649 Å, c = 6.429 Å
α = 90.00°, β = 90.00°, γ = 90.00°
Space group P4/mmm (No. 123)
Inequivalent atoms, fractional coordinates:
Zr: 0.000 0.000 0.232 [2 per cell]
Bi: 0.500 0.500 0.500 [1 per cell]
Mo: 0.500 0.500 0.000 [1 per cell]

Output
For the total magnetization, the calculation gives 0.00 μB/cell. The density of states at the Fermi level is 2.52 states/eV/f.u. The calculation puts the formation enthalpy at 0 K at -2.9 kcal/mol of atoms. As for the mass density: 9.45 Mg/m³.